# 1
Entry from the Alexandria database: an optimized crystal structure of NdPu2ScAs4 (PBE-GGA).

## Properties
- SG: P2/m
- Magnetization: 9.91 Bohr magnetons per cell
- VASP energy: -8.49 eV/atom
- Calculated density: 8.25 g/cm3

a = 4.125 Å, b = 7.134 Å, c = 7.088 Å
α = 109.59°, β = 90.00°, γ = 90.00°
Site moments in Bohr magnetons follow the coordinates.
Positions (direct):
Pu 0.500 0.000 0.500  4.93
Pu 0.000 0.500 0.500  5.09
As 0.000 0.237 0.746  -0.10
As 0.500 0.763 0.754  -0.10
As 0.500 0.237 0.246  -0.10
As 0.000 0.763 0.254  -0.10
Sc 0.000 0.000 0.000  -0.01
Nd 0.500 0.500 0.000  0.00



# 2
Entry from the Alexandria database: an optimized crystal structure of Tm5MgCd6 (PBE-GGA).

## Properties
- SG: C2/m
- Magnetization: 0.00 Bohr magnetons per cell
- VASP energy: -2.75 eV/atom
- Calculated density: 8.70 g/cm3

a = 5.146 Å, b = 8.969 Å, c = 8.969 Å
α = 119.75°, β = 106.70°, γ = 106.70°
Positions (direct):
Cd 0.242 0.080 0.406
Cd 0.261 0.762 0.762
Cd 0.758 0.594 0.920
Cd 0.758 0.920 0.594
Cd 0.739 0.238 0.238
Cd 0.242 0.406 0.080
Tm 0.500 0.833 0.167
Tm 0.000 0.333 0.667
Tm 0.500 0.500 0.500
Tm 0.500 0.167 0.833
Tm 0.000 0.667 0.333
Mg 0.000 0.000 0.000



# 3
Entry from the Alexandria database: an optimized crystal structure of KRuRh2 (PBE-GGA).

## Properties
- SG: Pmmm
- Magnetization: 2.19 Bohr magnetons per cell
- VASP energy: -5.19 eV/atom
- E above lowest polymorph: 648 meV/atom
- Calculated density: 8.42 g/cm3

a = 2.763 Å, b = 5.041 Å, c = 4.897 Å
α = 90.00°, β = 90.00°, γ = 90.00°
Site moments in Bohr magnetons follow the coordinates.
Positions (direct):
Rh 0.500 0.500 0.000  0.52
Rh 0.000 0.000 0.000  0.30
Ru 0.500 0.000 0.500  1.31
K 0.000 0.500 0.500  0.01



The N(E_F) results, record by record, are as follows: 2.64; 0.62; 1.48 states/eV per atom.
The energy relative to the elements results, record by record, are as follows: -1.20; -0.29; 1.08 eV/atom.